1.
# Ni2PdBr8, optimized geometry, DFT PBE
data_Ni2PdBr8
_chemical_formula_sum 'Ni4 Pd2 Br16'
_cell_length_a 14.162
_cell_length_b 8.329
_cell_length_c 6.286
_cell_angle_alpha 90.00
_cell_angle_beta 92.37
_cell_angle_gamma 90.00
_space_group_name_H-M_alt 'C 1 2/m 1'
_space_group_IT_number 12
_space_group_name_Hall '-C 2y'
loop_
_atom_site_label
_atom_site_type_symbol
_atom_site_fract_x
_atom_site_fract_y
_atom_site_fract_z
Ni1 Ni 0.174 0.000 0.414
Pd1 Pd 0.000 0.000 0.000
Br1 Br 0.079 0.206 0.244
Br2 Br 0.154 0.000 0.782
Br3 Br 0.166 0.500 0.590
# Mass density: 3.9 g/cm³
# Energy relative to the elements, uncorrected: -0.200 eV/atom


2.
# HfScAs2, optimized geometry, DFT PBE
data_HfScAs2
_chemical_formula_sum 'Hf3 Sc3 As6'
_cell_length_a 3.8354
_cell_length_b 3.8354
_cell_length_c 19.0005
_cell_angle_alpha 90.00
_cell_angle_beta 90.00
_cell_angle_gamma 120.00
_space_group_name_H-M_alt 'R -3 m'
_space_group_IT_number 166
_space_group_name_Hall '-R 3 2"'
loop_
_atom_site_label
_atom_site_type_symbol
_atom_site_fract_x
_atom_site_fract_y
_atom_site_fract_z
Hf1 Hf 0.0000 0.0000 0.0000
Sc1 Sc 0.0000 0.0000 0.5000
As1 As 0.0000 0.0000 0.2503
# Mass density: 7.7 g/cm³
# Excess energy over the best structure of this formula in the dataset: 0.0 meV per atom
# Formation enthalpy at 0 K: -1192.6 meV per atom